# 1
DFT (GGA-PBE) results for a geometry-optimized BeCrFe2 structure.

The total energy comes out at -120.22 eV/cell. For the energy of formation from the pure elements, the calculation gives 0.0548 eV per atom. The calculation puts the calculated density at 6.81 Mg/m³.

The space group is F-43m (No. 216) and the conventional cell measures 5.523, 5.523 and 5.523 Å, with angles of 90.00, 90.00 and 90.00 degrees. Symmetry generates all atoms from Be at (0.000, 0.000, 0.000), Cr at (0.250, 0.250, 0.750), Fe at (0.000, 0.000, 0.500) and Fe at (0.250, 0.250, 0.250).

---

# 2
DFT (GGA-PBE) results for a geometry-optimized BaNi2Pt structure.

The total energy comes out at -62.30 eV/cell. For the energy of formation from the pure elements, the calculation gives -0.3102 eV per atom. The calculation puts the calculated density at 8.68 Mg/m³.

The space group is R-3m (No. 166, hexagonal axes) and the conventional cell measures 4.3015, 4.3015 and 16.1148 Å, with angles of 90.00, 90.00 and 120.00 degrees. Symmetry generates all atoms from Ba at (0.0000, 0.0000, 0.0000), Ni at (0.0000, 0.0000, 0.1825) and Pt at (0.0000, 0.0000, 0.5000).

---

# 3
DFT (GGA-PBE) results for a geometry-optimized KCaInSn structure.

The total energy comes out at -43.07 eV/cell. For the energy of formation from the pure elements, the calculation gives -0.2316 eV per atom. The calculation puts the calculated density at 4.09 Mg/m³.

The space group is F-43m (No. 216) and the conventional cell measures 7.981, 7.981 and 7.981 Å, with angles of 90.00, 90.00 and 90.00 degrees. Symmetry generates all atoms from K at (0.000, 0.000, 0.000), Ca at (0.000, 0.000, 0.500), In at (0.250, 0.250, 0.250) and Sn at (0.250, 0.250, 0.750).

---

# 4
DFT (GGA-PBE) results for a geometry-optimized Sm2Al2CdPd5 structure.

The total energy comes out at -101.71 eV/cell. For the energy of formation from the pure elements, the calculation gives -0.7053 eV per atom. The calculation puts the calculated density at 8.74 Mg/m³.

The space group is P4/mbm (No. 127) and the conventional cell measures 10.197, 10.197 and 3.651 Å, with angles of 90.00, 90.00 and 90.00 degrees. Symmetry generates all atoms from Sm at (0.179, 0.321, 0.000), Al at (0.118, 0.618, 0.000), Cd at (0.000, 0.000, 0.000), Pd at (0.000, 0.500, 0.500) and Pd at (0.065, 0.785, 0.500).

---

# 5
DFT (GGA-PBE) results for a geometry-optimized KCuP structure.

The total energy comes out at -37.07 eV/cell. For the energy of formation from the pure elements, the calculation gives 0.4451 eV per atom. The calculation puts the calculated density at 3.31 Mg/m³.

The space group is F-43m (No. 216) and the conventional cell measures 6.448, 6.448 and 6.448 Å, with angles of 90.00, 90.00 and 90.00 degrees. Symmetry generates all atoms from K at (0.000, 0.000, 0.000), Cu at (0.250, 0.250, 0.250) and P at (0.000, 0.000, 0.500).

---

# 6
DFT (GGA-PBE) results for a geometry-optimized TlFe2Se2 structure.

The total energy comes out at -54.78 eV/cell. The calculation puts the calculated density at 7.49 Mg/m³. For the relative energy among the computed polymorphs, the calculation gives 0.000 kcal/mol of atoms.

The space group is I4/mmm (No. 139) and the conventional cell measures 3.696, 3.696 and 15.379 Å, with angles of 90.00, 90.00 and 90.00 degrees. Symmetry generates all atoms from Tl at (0.000, 0.000, 0.000), Fe at (0.000, 0.500, 0.250) and Se at (0.000, 0.000, 0.358).

---

# 7
DFT (GGA-PBE) results for a geometry-optimized PmPr2Te3 structure.

The total energy comes out at -64.61 eV/cell. The calculation puts the calculated density at 6.91 Mg/m³.

The space group is Immm (No. 71) and the conventional cell measures 4.532, 6.362 and 13.498 Å, with angles of 90.00, 90.00 and 90.00 degrees. Symmetry generates all atoms from Pm at (0.000, 0.000, 0.000), Pr at (0.000, 0.000, 0.330), Te at (0.000, 0.500, 0.000) and Te at (0.000, 0.500, 0.337).

---

# 8
DFT (GGA-PBE) results for a geometry-optimized Ti4SnO structure.

The total energy comes out at -92.91 eV/cell. The calculation puts the calculated density at 5.81 Mg/m³. For the relative energy among the computed polymorphs, the calculation gives 0.000 kcal/mol of atoms.

The space group is P2/m (No. 10) and the conventional cell measures 5.133, 2.999 and 12.183 Å, with angles of 90.00, 96.42 and 90.00 degrees. Symmetry generates all atoms from Ti at (0.000, 0.000, 0.000), Ti at (0.070, 0.500, 0.807), Ti at (0.151, 0.000, 0.397), Ti at (0.412, 0.000, 0.209), Ti at (0.500, 0.500, 0.000), Sn at (0.336, 0.500, 0.606) and O at (0.304, 0.000, 0.898).

---

# 9
DFT (GGA-PBE) results for a geometry-optimized LiYCdCo structure.

The total energy comes out at -66.29 eV/cell. For the energy of formation from the pure elements, the calculation gives -0.0435 eV per atom. The calculation puts the calculated density at 6.12 Mg/m³.

The space group is F-43m (No. 216) and the conventional cell measures 6.619, 6.619 and 6.619 Å, with angles of 90.00, 90.00 and 90.00 degrees. Symmetry generates all atoms from Li at (0.000, 0.000, 0.000), Y at (0.250, 0.250, 0.250), Cd at (0.250, 0.250, 0.750) and Co at (0.000, 0.000, 0.500).

---

# 10
DFT (GGA-PBE) results for a geometry-optimized Tb5Dy7Ho structure.

The total energy comes out at -113.18 eV/cell. For the energy of formation from the pure elements, the calculation gives 0.2578 eV per atom. The calculation puts the calculated density at 8.21 Mg/m³.

The space group is Imm2 (No. 44) and the conventional cell measures 6.647, 11.090 and 11.505 Å, with angles of 90.00, 90.00 and 90.00 degrees. Symmetry generates all atoms from Tb at (0.000, 0.000, 0.000), Tb at (0.231, 0.273, 0.502), Dy at (0.000, 0.000, 0.500), Dy at (0.000, 0.170, 0.251), Dy at (0.000, 0.170, 0.751), Dy at (0.000, 0.500, 0.001), Dy at (0.000, 0.500, 0.307) and Ho at (0.000, 0.500, 0.695).

---

# 11
DFT (GGA-PBE) results for a geometry-optimized NpZn6Au12 structure.

The total energy comes out at -184.58 eV/cell. For the energy of formation from the pure elements, the calculation gives -0.0849 eV per atom. The calculation puts the calculated density at 13.73 Mg/m³.

The space group is R-3m (No. 166, hexagonal axes) and the conventional cell measures 11.9347, 11.9347 and 8.8042 Å, with angles of 90.00, 90.00 and 120.00 degrees. Symmetry generates all atoms from Np at (0.0000, 0.0000, 0.0000), Zn at (0.0624, 0.5312, 0.2443), Au at (0.0000, 0.3818, 0.5000) and Au at (0.0830, 0.1659, 0.2887).

---

# 12
DFT (GGA-PBE) results for a geometry-optimized BaZnBr structure.

The total energy comes out at -14.49 eV/cell. The calculation puts the calculated density at 4.03 Mg/m³. For the relative energy among the computed polymorphs, the calculation gives 6.859 kcal/mol of atoms.

The space group is Cm (No. 8) and the conventional cell measures 5.931, 5.930 and 6.622 Å, with angles of 90.00, 90.30 and 90.00 degrees. Symmetry generates all atoms from Ba at (0.000, 0.000, 0.000), Zn at (0.498, 0.000, 0.695) and Br at (0.002, 0.500, 0.245).

---

# 13
DFT (GGA-PBE) results for a geometry-optimized TaCo6Mo structure.

The total energy comes out at -66.47 eV/cell. For the energy of formation from the pure elements, the calculation gives -0.1443 eV per atom. The calculation puts the calculated density at 11.10 Mg/m³. For the relative energy among the computed polymorphs, the calculation gives 0.000 kcal/mol of atoms.

The space group is P-6m2 (No. 187) and the conventional cell measures 5.1394, 5.1394 and 4.1218 Å, with angles of 90.00, 90.00 and 120.00 degrees. Symmetry generates all atoms from Ta at (0.0000, 0.0000, 0.0000), Co at (0.0093, 0.5046, 0.0000), Co at (0.1756, 0.3512, 0.5000) and Mo at (0.6667, 0.3333, 0.5000).

---

# 14
DFT (GGA-PBE) results for a geometry-optimized Ba12Sb3S5 structure.

The total energy comes out at -650.79 eV/cell. The calculation puts the calculated density at 4.02 Mg/m³.

The space group is Ia-3d (No. 230) and the conventional cell measures 19.288, 19.288 and 19.288 Å, with angles of 90.00, 90.00 and 90.00 degrees. Symmetry generates all atoms from Ba at (0.023, 0.062, 0.652), Sb at (0.000, 0.250, 0.125), S at (0.000, 0.000, 0.000) and S at (0.000, 0.250, 0.375).

---

# 15
DFT (GGA-PBE) results for a geometry-optimized Ti2VBr6 structure.

The total energy comes out at -88.02 eV/cell. The calculation puts the calculated density at 4.26 Mg/m³.

The space group is C2/m (No. 12) and the conventional cell measures 15.333, 3.521 and 10.137 Å, with angles of 90.00, 116.82 and 90.00 degrees. Symmetry generates all atoms from Ti at (0.192, 0.000, 0.376), V at (0.000, 0.500, 0.000), Br at (0.044, 0.500, 0.282), Br at (0.137, 0.000, 0.064) and Br at (0.181, 0.000, 0.623).

---

# 16
DFT (GGA-PBE) results for a geometry-optimized KAlGeTe2 structure.

The total energy comes out at -14.18 eV/cell. The calculation puts the calculated density at 3.63 Mg/m³.

The space group is P4/mmm (No. 123) and the conventional cell measures 5.603, 5.603 and 5.738 Å, with angles of 90.00, 90.00 and 90.00 degrees. Symmetry generates all atoms from K at (0.000, 0.000, 0.000), Al at (0.500, 0.500, 0.000), Ge at (0.000, 0.000, 0.500) and Te at (0.000, 0.500, 0.500).

---

# 17
DFT (GGA-PBE) results for a geometry-optimized La2FePt structure.

The total energy comes out at -25.85 eV/cell. For the energy of formation from the pure elements, the calculation gives -0.3726 eV per atom. The calculation puts the calculated density at 9.24 Mg/m³.

The space group is P2/m (No. 10) and the conventional cell measures 3.645, 3.639 and 7.162 Å, with angles of 90.00, 90.88 and 90.00 degrees. Symmetry generates all atoms from La at (0.007, 0.000, 0.252), Fe at (0.500, 0.500, 0.500) and Pt at (0.500, 0.500, 0.000).

---

# 18
DFT (GGA-PBE) results for a geometry-optimized NaYTe4 structure.

The total energy comes out at -50.98 eV/cell. The calculation puts the calculated density at 5.44 Mg/m³.

The space group is P4/nbm (No. 125, origin choice 2) and the conventional cell measures 6.808, 6.808 and 8.195 Å, with angles of 90.00, 90.00 and 90.00 degrees. Symmetry generates all atoms from Na at (0.250, 0.250, 0.000), Y at (0.250, 0.250, 0.500) and Te at (0.103, 0.603, 0.271).